Record 1
Compound: CaCuC
Source: the Alexandria database
Functional: PBE
Structure: relaxed

The total DFT energy (no corrections) comes out at -30.29 eV/cell. Its formation energy is 60 meV per atom. The energy above the lowest structure with this stoichiometry is 47 meV per atom. The density of states at the Fermi level comes out at 1.4 states/eV/f.u.

Structure (CIF):
```
data_CaCuC
_chemical_formula_sum 'Ca2 Cu2 C2'
_space_group_name_H-M_alt 'P 1'
_space_group_IT_number 1
_space_group_name_Hall 'P 1'
_cell_length_a 5.444
_cell_length_b 5.444
_cell_length_c 4.024
_cell_angle_alpha 109.26
_cell_angle_beta 109.26
_cell_angle_gamma 95.23
loop_
_atom_site_label
_atom_site_fract_x
_atom_site_fract_y
_atom_site_fract_z
Ca1 0.000 0.500 0.000
Ca2 0.500 0.000 0.000
Cu1 0.121 0.121 0.376
Cu2 0.879 0.879 0.624
C1 0.412 0.412 0.495
C2 0.588 0.588 0.505
```

Record 2
Compound: HfSn2Ir
Source: the Alexandria database
Functional: PBE
Structure: relaxed

The total DFT energy (no corrections) comes out at -26.10 eV/cell. Its formation energy is 180 meV per atom. The density of states at the Fermi level comes out at 2.8 states/eV/f.u.

Structure (CIF):
```
data_HfSn2Ir
_chemical_formula_sum 'Hf1 Sn2 Ir1'
_space_group_name_H-M_alt 'P 1'
_space_group_IT_number 1
_space_group_name_Hall 'P 1'
_cell_length_a 10.162
_cell_length_b 10.162
_cell_length_c 10.162
_cell_angle_alpha 18.13
_cell_angle_beta 18.13
_cell_angle_gamma 18.13
loop_
_atom_site_label
_atom_site_fract_x
_atom_site_fract_y
_atom_site_fract_z
Hf1 0.000 0.000 0.000
Sn1 0.098 0.098 0.098
Sn2 0.902 0.902 0.902
Ir1 0.500 0.500 0.500
```

Record 3
Compound: Pu2Ge5Os3
Source: the Alexandria database
Functional: PBE
Structure: relaxed

The total DFT energy (no corrections) comes out at -176.15 eV/cell. Its formation energy is -264 meV per atom. The density of states at the Fermi level comes out at 21.7 states/eV/f.u.

Structure (CIF):
```
data_Pu2Ge5Os3
_chemical_formula_sum 'Pu4 Ge10 Os6'
_space_group_name_H-M_alt 'P 1'
_space_group_IT_number 1
_space_group_name_Hall 'P 1'
_cell_length_a 8.496
_cell_length_b 8.496
_cell_length_c 8.496
_cell_angle_alpha 108.32
_cell_angle_beta 85.72
_cell_angle_gamma 139.48
loop_
_atom_site_label
_atom_site_fract_x
_atom_site_fract_y
_atom_site_fract_z
Pu1 0.141 0.229 0.370
Pu2 0.359 0.729 0.087
Pu3 0.641 0.271 0.913
Pu4 0.859 0.771 0.630
Ge1 0.042 0.750 0.292
Ge2 0.086 0.675 0.761
Ge3 0.250 0.250 0.000
Ge4 0.414 0.175 0.589
Ge5 0.458 0.750 0.708
Ge6 0.542 0.250 0.292
Ge7 0.586 0.825 0.411
Ge8 0.750 0.750 0.000
Ge9 0.914 0.325 0.239
Ge10 0.958 0.250 0.708
Os1 0.149 0.905 0.054
Os2 0.250 0.750 0.500
Os3 0.351 0.405 0.756
Os4 0.649 0.595 0.244
Os5 0.750 0.250 0.500
Os6 0.851 0.095 0.946
```

Q: The lowest density of states at the Fermi level belongs to which entry?
A: CaCuC

Q: What is the formula in the third record?
A: Pu2Ge5Os3

Q: The highest total DFT energy (no corrections) belongs to which entry?
A: HfSn2Ir

Q: Which formula does entry 2 have?
A: HfSn2Ir